# 1
# Si2Pt (PBE, relaxed)
# - Crystal system: monoclinic
# - Formation energy from raw total energies: -59.5 kJ/mol of formula units
data_Si2Pt
_chemical_formula_sum 'Si8 Pt4'
_cell_length_a 9.6326
_cell_length_b 3.5727
_cell_length_c 5.9265
_cell_angle_alpha 90.00
_cell_angle_beta 104.81
_cell_angle_gamma 90.00
_space_group_name_H-M_alt 'C 1 m 1'
_space_group_IT_number 8
_space_group_name_Hall 'C -2y'
loop_
_atom_site_label
_atom_site_type_symbol
_atom_site_fract_x
_atom_site_fract_y
_atom_site_fract_z
Si1 Si 0.0000 0.0000 0.0000
Si2 Si 0.0223 0.0000 0.4124
Si3 Si 0.2698 0.5000 0.3052
Si4 Si 0.3978 0.0000 0.7346
Pt1 Pt 0.1570 0.5000 0.6217
Pt2 Pt 0.2511 0.0000 0.0259

=====

# 2
# NbCrGe2 (PBE, relaxed)
# - Crystal system: tetragonal
# - Calculated formation energy: 323 meV/atom
data_NbCrGe2
_chemical_formula_sum 'Nb4 Cr4 Ge8'
_cell_length_a 3.7775
_cell_length_b 3.7775
_cell_length_c 18.5068
_cell_angle_alpha 90.00
_cell_angle_beta 90.00
_cell_angle_gamma 90.00
_space_group_name_H-M_alt 'I -4 2 d'
_space_group_IT_number 122
_space_group_name_Hall 'I -4 2bw'
loop_
_atom_site_label
_atom_site_type_symbol
_atom_site_fract_x
_atom_site_fract_y
_atom_site_fract_z
Nb1 Nb 0.0000 0.0000 0.0000
Cr1 Cr 0.0000 0.0000 0.5000
Ge1 Ge 0.2394 0.2500 0.6250

=====

# 3
# CaCoC (PBE, relaxed)
# - Crystal system: hexagonal
# - Calculated formation energy: 138 meV/atom
data_CaCoC
_chemical_formula_sum 'Ca1 Co1 C1'
_cell_length_a 3.3571
_cell_length_b 3.3571
_cell_length_c 4.2111
_cell_angle_alpha 90.00
_cell_angle_beta 90.00
_cell_angle_gamma 120.00
_space_group_name_H-M_alt 'P -6 m 2'
_space_group_IT_number 187
_space_group_name_Hall 'P -6 2'
loop_
_atom_site_label
_atom_site_type_symbol
_atom_site_fract_x
_atom_site_fract_y
_atom_site_fract_z
Ca1 Ca 0.0000 0.0000 0.0000
Co1 Co 0.3333 0.6667 0.5000
C1 C 0.6667 0.3333 0.5000

=====

# 4
# RbZn3Bi (PBE, relaxed)
# - Crystal system: cubic
# - Calculated formation energy: 311 meV/atom
data_RbZn3Bi
_chemical_formula_sum 'Rb1 Zn3 Bi1'
_cell_length_a 5.7561
_cell_length_b 5.7561
_cell_length_c 5.7561
_cell_angle_alpha 90.00
_cell_angle_beta 90.00
_cell_angle_gamma 90.00
_space_group_name_H-M_alt 'P m -3 m'
_space_group_IT_number 221
_space_group_name_Hall '-P 4 2 3'
loop_
_atom_site_label
_atom_site_type_symbol
_atom_site_fract_x
_atom_site_fract_y
_atom_site_fract_z
Rb1 Rb 0.0000 0.0000 0.0000
Zn1 Zn 0.0000 0.5000 0.5000
Bi1 Bi 0.5000 0.5000 0.5000

=====

# 5
# CeErNiHg (PBE, relaxed)
# - Crystal system: cubic
# - Calculated formation energy: -247 meV/atom
data_CeErNiHg
_chemical_formula_sum 'Ce4 Er4 Ni4 Hg4'
_cell_length_a 7.1983
_cell_length_b 7.1983
_cell_length_c 7.1983
_cell_angle_alpha 90.00
_cell_angle_beta 90.00
_cell_angle_gamma 90.00
_space_group_name_H-M_alt 'F -4 3 m'
_space_group_IT_number 216
_space_group_name_Hall 'F -4 2 3'
loop_
_atom_site_label
_atom_site_type_symbol
_atom_site_fract_x
_atom_site_fract_y
_atom_site_fract_z
Ce1 Ce 0.0000 0.0000 0.0000
Er1 Er 0.0000 0.0000 0.5000
Ni1 Ni 0.2500 0.2500 0.7500
Hg1 Hg 0.2500 0.2500 0.2500

=====

# 6
# In2PtAu8 (PBE, relaxed)
# - Crystal system: monoclinic
# - Calculated formation energy: -63 meV/atom
data_In2PtAu8
_chemical_formula_sum 'In4 Pt2 Au16'
_cell_length_a 12.7614
_cell_length_b 7.5138
_cell_length_c 4.8290
_cell_angle_alpha 90.00
_cell_angle_beta 103.15
_cell_angle_gamma 90.00
_space_group_name_H-M_alt 'C 1 2/m 1'
_space_group_IT_number 12
_space_group_name_Hall '-C 2y'
loop_
_atom_site_label
_atom_site_type_symbol
_atom_site_fract_x
_atom_site_fract_y
_atom_site_fract_z
In1 In 0.1279 0.0000 0.0308
Pt1 Pt 0.0000 0.0000 0.5000
Au1 Au 0.0708 0.3101 0.2976
Au2 Au 0.1413 0.5000 0.8413
Au3 Au 0.2316 0.0000 0.5911

=====

# 7
# CoRe2Pb (PBE, relaxed)
# - Crystal system: orthorhombic
# - Calculated formation energy: 1002 meV/atom
data_CoRe2Pb
_chemical_formula_sum 'Co2 Re4 Pb2'
_cell_length_a 5.2246
_cell_length_b 8.4432
_cell_length_c 2.9401
_cell_angle_alpha 90.00
_cell_angle_beta 90.00
_cell_angle_gamma 90.00
_space_group_name_H-M_alt 'C m m m'
_space_group_IT_number 65
_space_group_name_Hall '-C 2 2'
loop_
_atom_site_label
_atom_site_type_symbol
_atom_site_fract_x
_atom_site_fract_y
_atom_site_fract_z
Co1 Co 0.0000 0.0000 0.0000
Re1 Re 0.2500 0.2500 0.5000
Pb1 Pb 0.0000 0.5000 0.0000

=====

# 8
# HoCrAs3 (PBE, relaxed)
# - Crystal system: orthorhombic
# - Calculated formation energy: -663 meV/atom
data_HoCrAs3
_chemical_formula_sum 'Ho4 Cr4 As12'
_cell_length_a 11.9506
_cell_length_b 5.6433
_cell_length_c 5.5859
_cell_angle_alpha 90.00
_cell_angle_beta 90.00
_cell_angle_gamma 90.00
_space_group_name_H-M_alt 'P b c m'
_space_group_IT_number 57
_space_group_name_Hall '-P 2c 2b'
loop_
_atom_site_label
_atom_site_type_symbol
_atom_site_fract_x
_atom_site_fract_y
_atom_site_fract_z
Ho1 Ho 0.1874 0.0050 0.2500
Cr1 Cr 0.4098 0.7500 0.0000
As1 As 0.0019 0.7500 0.0000
As2 As 0.2811 0.5008 0.2500
As3 As 0.4312 0.1078 0.2500

=====

# 9
# Y2MgCl (PBE, relaxed)
# - Crystal system: tetragonal
# - Formation energy from raw total energies: -87.5 kJ/mol of formula units
data_Y2MgCl
_chemical_formula_sum 'Y4 Mg2 Cl2'
_cell_length_a 4.3087
_cell_length_b 4.3087
_cell_length_c 11.8548
_cell_angle_alpha 90.00
_cell_angle_beta 90.00
_cell_angle_gamma 90.00
_space_group_name_H-M_alt 'I -4 m 2'
_space_group_IT_number 119
_space_group_name_Hall 'I -4 -2'
loop_
_atom_site_label
_atom_site_type_symbol
_atom_site_fract_x
_atom_site_fract_y
_atom_site_fract_z
Y1 Y 0.0000 0.0000 0.0000
Y2 Y 0.0000 0.5000 0.2500
Mg1 Mg 0.0000 0.0000 0.5000
Cl1 Cl 0.0000 0.5000 0.7500

=====

# 10
# LaNi4Sn4 (PBE, relaxed)
# - Crystal system: tetragonal
# - Calculated formation energy: -263 meV/atom
data_LaNi4Sn4
_chemical_formula_sum 'La2 Ni8 Sn8'
_cell_length_a 8.5440
_cell_length_b 8.5440
_cell_length_c 5.1094
_cell_angle_alpha 90.00
_cell_angle_beta 90.00
_cell_angle_gamma 90.00
_space_group_name_H-M_alt 'P 42/n'
_space_group_IT_number 86
loop_
_space_group_symop_operation_xyz
'x,y,z'
'-x,-y,-z'
'-y,x+1/2,z+1/2'
'y,-x+1/2,-z+1/2'
'-x+1/2,-y+1/2,z'
'x+1/2,y+1/2,-z'
'y+1/2,-x,z+1/2'
'-y+1/2,x,-z+1/2'
loop_
_atom_site_label
_atom_site_type_symbol
_atom_site_fract_x
_atom_site_fract_y
_atom_site_fract_z
La1 La 0.2500 0.2500 0.2500
Ni1 Ni 0.0623 0.5934 0.6588
Sn1 Sn 0.1017 0.6341 0.1606

=====

# 11
# ZrScCu2 (PBE, relaxed)
# - Crystal system: monoclinic
# - Calculated formation energy: -181 meV/atom
data_ZrScCu2
_chemical_formula_sum 'Zr1 Sc1 Cu2'
_cell_length_a 3.2690
_cell_length_b 3.1620
_cell_length_c 6.7364
_cell_angle_alpha 90.00
_cell_angle_beta 90.08
_cell_angle_gamma 90.00
_space_group_name_H-M_alt 'P 1 2/m 1'
_space_group_IT_number 10
_space_group_name_Hall '-P 2y'
loop_
_atom_site_label
_atom_site_type_symbol
_atom_site_fract_x
_atom_site_fract_y
_atom_site_fract_z
Zr1 Zr 0.0000 0.0000 0.0000
Sc1 Sc 0.0000 0.0000 0.5000
Cu1 Cu 0.4988 0.5000 0.7423

=====

Number 1: DOS(E_F) 3.99 states/eV/cell. Number 2: DOS(E_F) 12.32 states/eV/cell. Number 3: DOS(E_F) 2.78 states/eV/cell. Number 4: DOS(E_F) 2.93 states/eV/cell. Number 5: DOS(E_F) 31.02 states/eV/cell. Number 6: DOS(E_F) 6.24 states/eV/cell. Number 7: DOS(E_F) 10.77 states/eV/cell. Number 8: DOS(E_F) 9.03 states/eV/cell. Number 9: DOS(E_F) 9.44 states/eV/cell. Number 10: DOS(E_F) 8.32 states/eV/cell. Number 11: DOS(E_F) 4.30 states/eV/cell.